No. 1
First-principles (PBE-GGA) data for crystalline DyScC at its relaxed geometry, as listed in Alexandria via LeMat-Bulk.

Geometry as extended XYZ:
```
6
Lattice="3.464 -0.005 0.000 0.011 5.836 -2.367 0.000 0.220 6.000" Properties=species:S:1:pos:R:3 pbc="T T T"
Sc 3.256 4.264 -0.053
Sc 1.517 0.817 1.237
Dy 1.524 4.231 2.962
Dy 3.249 1.069 4.223
C 1.526 5.490 0.845
C 3.258 5.427 -2.027
```

Properties
**Total moment**: 0.34 μB per formula unit
**Energy of formation from the pure elements**: -344 meV per atom
**SG**: P2_1/m


No. 2
First-principles (PBE-GGA) data for crystalline DySc3C2 at its relaxed geometry, as listed in Alexandria via LeMat-Bulk.

Geometry as extended XYZ:
```
12
Lattice="-0.797 5.751 0.784 -5.957 -0.389 -3.204 0.300 -0.873 6.712" Properties=species:S:1:pos:R:3 pbc="T T T"
Sc -1.061 0.818 1.873
Sc -5.394 3.671 2.420
Sc -0.911 0.383 5.211
Sc -5.543 4.105 -0.919
Sc -2.580 4.299 0.675
Sc -3.874 0.190 3.618
Dy -2.387 3.624 3.998
Dy -4.068 0.865 0.294
C -2.979 -0.195 -1.602
C 0.150 -0.437 3.356
C 0.000 0.000 0.000
C -2.829 -0.631 1.754
```

Properties
**Total moment**: 0.24 μB per formula unit
**Energy of formation from the pure elements**: -371 meV per atom
**SG**: P-3m1


No. 3
First-principles (PBE-GGA) data for crystalline Dy3ScSi2C at its relaxed geometry, as listed in Alexandria via LeMat-Bulk.

Geometry as extended XYZ:
```
7
Lattice="4.424 0.000 0.000 0.000 4.631 0.000 -2.212 -2.316 7.546" Properties=species:S:1:pos:R:3 pbc="T T T"
Si 2.212 2.316 2.040
Si 0.000 0.000 5.506
Dy 2.212 2.316 5.023
Dy 0.000 2.316 0.000
Dy 0.000 0.000 2.523
Sc 2.212 0.000 0.000
C 0.000 0.000 0.000
```

Properties
**Total moment**: 0.00 μB per formula unit
**Formation energy without anion corrections**: -4.4 eV/f.u.
**SG**: Immm


No. 4
First-principles (PBE-GGA) data for crystalline DyScTeC at its relaxed geometry, as listed in Alexandria via LeMat-Bulk.

Geometry as extended XYZ:
```
4
Lattice="-0.296 -2.785 -2.371 2.755 2.403 -0.326 3.209 -2.889 5.833" Properties=species:S:1:pos:R:3 pbc="T T T"
C 4.262 -2.084 4.220
Te 1.881 -2.776 -0.350
Sc 2.732 1.869 -0.233
Dy 2.485 -3.051 2.737
```

Properties
**Total moment**: 0.00 μB per formula unit
**Formation energy without anion corrections**: -3.2 eV/f.u.
**SG**: R3m


No. 5
First-principles (PBE-GGA) data for crystalline Dy2Sc2Te2C at its relaxed geometry, as listed in Alexandria via LeMat-Bulk.

Geometry as extended XYZ:
```
7
Lattice="3.829 0.000 -0.001 1.914 6.601 0.566 -0.001 2.239 6.622" Properties=species:S:1:pos:R:3 pbc="T T T"
C 0.000 0.000 0.000
Te 3.829 2.885 2.623
Te 1.913 5.955 4.565
Dy 3.828 7.056 2.152
Dy 1.914 1.784 5.036
Sc 3.828 4.429 6.206
Sc 1.915 4.411 0.981
```

Properties
**Total moment**: 0.00 μB per formula unit
**Formation energy without anion corrections**: -5.9 eV/f.u.
**SG**: C2/m


No. 6
First-principles (PBE-GGA) data for crystalline Dy2ScTlC at its relaxed geometry, as listed in Alexandria via LeMat-Bulk.

Geometry as extended XYZ:
```
5
Lattice="4.585 0.000 0.000 0.000 4.925 0.000 0.000 0.000 4.925" Properties=species:S:1:pos:R:3 pbc="T T T"
C 0.000 0.000 0.000
Tl 2.293 2.462 2.462
Sc 2.293 0.000 0.000
Dy 0.000 2.462 0.000
Dy 0.000 0.000 2.462
```

Properties
**Total moment**: 0.00 μB per formula unit
**Energy of formation from the pure elements**: -499 meV per atom
**SG**: P4/mmm


No. 7
First-principles (PBE-GGA) data for crystalline DySc2ZnC at its relaxed geometry, as listed in Alexandria via LeMat-Bulk.

Geometry as extended XYZ:
```
5
Lattice="4.502 0.000 0.000 0.000 4.502 0.000 0.000 0.000 4.924" Properties=species:S:1:pos:R:3 pbc="T T T"
Sc 2.251 4.502 4.924
Sc 0.000 2.251 4.923
Dy 0.000 4.502 2.461
C 0.000 0.000 4.924
Zn 2.251 2.251 2.464
```

Properties
**Total moment**: 0.01 μB per formula unit
**Energy of formation from the pure elements**: -360 meV per atom
**SG**: P4/mmm


No. 8
First-principles (PBE-GGA) data for crystalline Dy5C2Se2 at its relaxed geometry, as listed in Alexandria via LeMat-Bulk.

Geometry as extended XYZ:
```
18
Lattice="-1.883 0.488 6.931 0.627 -7.117 0.672 6.471 4.325 1.454" Properties=species:S:1:pos:R:3 pbc="T T T"
Dy 4.758 -1.694 3.989
Dy 0.000 0.000 0.000
Dy 3.699 -0.110 7.328
Dy 0.413 -4.075 6.715
Dy -0.628 -3.314 3.802
Dy 3.741 3.356 5.681
Dy 0.456 -0.609 5.068
Dy 1.516 -2.193 1.729
Dy 1.473 -5.659 3.376
Dy 4.801 1.772 2.342
C -1.372 -1.942 6.032
C -0.531 -1.042 2.459
C 0.115 -4.686 1.571
C -0.726 -5.587 5.145
Se 2.752 0.311 0.726
Se 4.346 -3.103 1.399
Se 3.090 0.700 4.529
Se 2.124 -3.003 4.528
```

Properties
**Total moment**: 0.00 μB per formula unit
**Formation energy without anion corrections**: -6.6 eV/f.u.
**SG**: Cmce


Repeat the eighth record exactly.
First-principles (PBE-GGA) data for crystalline Dy5C2Se2 at its relaxed geometry, as listed in Alexandria via LeMat-Bulk.

Geometry as extended XYZ:
```
18
Lattice="-1.883 0.488 6.931 0.627 -7.117 0.672 6.471 4.325 1.454" Properties=species:S:1:pos:R:3 pbc="T T T"
Dy 4.758 -1.694 3.989
Dy 0.000 0.000 0.000
Dy 3.699 -0.110 7.328
Dy 0.413 -4.075 6.715
Dy -0.628 -3.314 3.802
Dy 3.741 3.356 5.681
Dy 0.456 -0.609 5.068
Dy 1.516 -2.193 1.729
Dy 1.473 -5.659 3.376
Dy 4.801 1.772 2.342
C -1.372 -1.942 6.032
C -0.531 -1.042 2.459
C 0.115 -4.686 1.571
C -0.726 -5.587 5.145
Se 2.752 0.311 0.726
Se 4.346 -3.103 1.399
Se 3.090 0.700 4.529
Se 2.124 -3.003 4.528
```

Properties
**Total moment**: 0.00 μB per formula unit
**Formation energy without anion corrections**: -6.6 eV/f.u.
**SG**: Cmce


total moment of number 2 (DySc3C2)? 0.24 μB per formula unit


The highest total moment belongs to which entry? DyScC